TlVTeO5 | PBE with a Hubbard U | optimized geometry

Lattice parameters (Å, degrees): 7.3451 7.9698 8.8318 90.00 90.00 90.00
Closest atoms and distances in Å follow each position.
Sites, in units of the cell vectors:
O  0.8696  0.5510  0.6353  1 Te 1.89
O  0.1304  0.0510  0.3647  1 Te 1.89
O  0.5614  0.7580  0.6760  1 V 1.71
O  0.1026  0.3603  0.4488  1 Te 1.98, 1 V 2.01
O  0.7723  0.9806  0.8190  1 V 1.70
O  0.2723  0.9806  0.6810  1 V 1.70
O  0.2577  0.1515  0.0762  1 V 1.93, 1 Te 1.96
O  0.2423  0.6515  0.5762  1 V 1.93, 1 Te 1.96
O  0.8974  0.8603  0.5512  1 Te 1.98, 1 V 2.01
O  0.4386  0.2580  0.3240  1 V 1.71
O  0.7423  0.6515  0.9238  1 V 1.93, 1 Te 1.96
O  0.7577  0.1515  0.4238  1 V 1.93, 1 Te 1.96
O  0.7277  0.4806  0.3190  1 V 1.70
O  0.6304  0.0510  0.1353  1 Te 1.89
O  0.3974  0.8603  0.9488  1 Te 1.98, 1 V 2.01
O  0.2277  0.4806  0.1810  1 V 1.70
O  0.3696  0.5510  0.8647  1 Te 1.89
O  0.0614  0.7580  0.8240  1 V 1.71
O  0.9386  0.2580  0.1760  1 V 1.71
O  0.6026  0.3603  0.0512  1 Te 1.98, 1 V 2.01
V  0.7775  0.7843  0.7434  2 O 1.70-1.71
V  0.2775  0.7843  0.7566  2 O 1.70-1.71
V  0.7225  0.2843  0.2434  2 O 1.70-1.71
V  0.2225  0.2843  0.2566  2 O 1.70-1.71
Tl  0.9767  0.9060  0.1027  7 O 2.80-3.09
Tl  0.4767  0.9060  0.3973  7 O 2.80-3.09
Tl  0.5233  0.4060  0.6027  7 O 2.80-3.09
Tl  0.0233  0.4060  0.8973  7 O 2.80-3.09
Te  0.4807  0.0954  0.9660  3 O 1.89-1.98
Te  0.5193  0.5954  0.0340  3 O 1.89-1.98
Te  0.9807  0.0954  0.5340  3 O 1.89-1.98
Te  0.0193  0.5954  0.4660  3 O 1.89-1.98

Properties
DOS(E_F)   0.0 states/eV/f.u.
Space-group type   Pna2_1 (33)
Electronic total energy   -6.104 eV/atom